[1]
Entry from the Alexandria database: a relaxed structure of TaBeSi2 (PBE).

Lattice parameters (Å, degrees): 2.7096 2.7096 7.6876 90.00 90.00 96.18
Positions (direct):
Ta (0.0000, 0.0000, 0.0000)
Be (0.5000, 0.5000, 0.7562)
Si (0.0000, 0.0000, 0.5549)
Si (0.5000, 0.5000, 0.2672)

Results
final energy = -6.4014 eV per atom


[2]
Entry from the Alexandria database: a relaxed structure of TaBeSi2 (PBE).

Lattice parameters (Å, degrees): 4.8251 4.8251 4.8251 136.06 136.06 63.89
Positions (direct):
Ta (0.0000, 0.0000, 0.0000)
Be (0.2500, 0.7500, 0.5000)
Si (0.5000, 0.5000, 0.0000)
Si (0.7500, 0.2500, 0.5000)

Results
final energy = -6.6919 eV per atom


Record-wise spin magnetization values, in μB per formula unit: 0.000, 0.000
Record-wise V values, in Å³ per atom: 14.0, 13.3